## TbMgSc2 (PBE)

Data for a relaxed structure of TbMgSc2.

E_tot: -4.6490 eV/atom
Relative energy among the computed polymorphs: 0.078 eV per atom

a = 11.1282 Å, b = 11.1282 Å, c = 11.1282 Å
α = 17.14°, β = 17.14°, γ = 17.14°
Closest atoms and distances in Å follow each position.
Element x y z (fractional)
Tb: 0.0000 0.0000 0.0000  6 Tb 3.32, 6 Sc 3.37-3.38
Mg: 0.8335 0.8335 0.8335  6 Sc 3.31, 6 Mg 3.32
Sc: 0.4179 0.4179 0.4179  3 Mg 3.31, 6 Sc 3.32, 3 Tb 3.38
Sc: 0.5823 0.5823 0.5823  3 Mg 3.31, 6 Sc 3.32, 3 Tb 3.37

=====

## La2AgIr (PBE)

Data for a relaxed structure of La2AgIr.

E_tot: -5.6076 eV/atom
Relative energy among the computed polymorphs: 0.309 eV per atom

a = 6.6681 Å, b = 6.6681 Å, c = 6.6681 Å
α = 106.66°, β = 106.66°, γ = 115.25°
Closest atoms and distances in Å follow each position.
Element x y z (fractional)
La: 0.0877 0.6250 0.9627  2 Ir 2.76
La: 0.3750 0.3377 0.4627  2 Ir 2.76
La: 0.6623 0.1250 0.0373  2 Ir 2.76
La: 0.8750 0.9123 0.5373  2 Ir 2.76
Ag: 0.2500 0.7500 0.5000  4 La 3.16
Ag: 0.5000 0.5000 0.0000  4 La 3.16
Ir: 0.0000 0.0000 0.0000  4 La 2.76
Ir: 0.7500 0.2500 0.5000  4 La 2.76

=====

## HoGa2SbO8 (PBE)

Data for a relaxed structure of HoGa2SbO8.

E_tot: -6.1317 eV/atom
Energy relative to the elements, uncorrected: -1597 meV/atom

a = 5.8335 Å, b = 5.8335 Å, c = 5.8335 Å
α = 108.61°, β = 108.61°, γ = 111.21°
Closest atoms and distances in Å follow each position.
Element x y z (fractional)
Ho: 0.0000 0.0000 0.0000  8 O 2.22-2.44
Ga: 0.5000 0.5000 0.0000  4 O 1.86
Ga: 0.7500 0.2500 0.5000  4 O 1.84
Sb: 0.2500 0.7500 0.5000  8 O 2.08-2.25
O: 0.3069 0.1071 0.8003  1 Ga 1.86, 1 Sb 2.08
O: 0.3069 0.5066 0.1997  1 Ga 1.86, 1 Sb 2.08
O: 0.3631 0.0390 0.3241  1 Ga 1.84
O: 0.4934 0.6931 0.8003  1 Ga 1.86, 1 Sb 2.08
O: 0.7149 0.0390 0.6759  1 Ga 1.84
O: 0.8929 0.6931 0.1997  1 Ga 1.86, 1 Sb 2.08
O: 0.9610 0.2851 0.3241  1 Ga 1.84
O: 0.9610 0.6369 0.6759  1 Ga 1.84

=====

## SbPIr2 (PBE)

Data for a relaxed structure of SbPIr2.

E_tot: -6.7090 eV/atom
Energy relative to the elements, uncorrected: 105 meV/atom
Relative energy among the computed polymorphs: 0.378 eV per atom

a = 6.9557 Å, b = 6.9557 Å, c = 6.9557 Å
α = 32.03°, β = 32.03°, γ = 32.03°
Closest atoms and distances in Å follow each position.
Element x y z (fractional)
Sb: 0.0000 0.0000 0.0000  3 Ir 2.53
P: 0.8215 0.8215 0.8215  3 Ir 2.27
Ir: 0.2713 0.2713 0.2713  3 Sb 2.53
Ir: 0.5132 0.5132 0.5132  3 P 2.27

=====

no.,D(E_F) (states/eV per cell),magnetic moment (μB per atom)
1,7.0,0.00
2,8.7,0.00
3,9.5,0.17
4,3.2,0.00